CdPd6 | PBE | optimized geometry

a b c (Å): 6.085 6.085 6.085
angles (deg): 109.47 109.47 109.47
Element x y z (fractional)
Cd  0.000  0.000  0.000
Pd  0.500  0.750  0.250
Pd  0.750  0.250  0.500
Pd  0.500  0.250  0.750
Pd  0.250  0.500  0.750
Pd  0.750  0.500  0.250
Pd  0.250  0.750  0.500

- Density: 7.19 g/cm3
- E_form: 0.89 eV/atom